#1
The following is a PBE calculation of a geometry-optimized Rb3SrAg structure, from the Alexandria database.

Structure (POSCAR):
```
Rb3SrAg
1.0
7.004 0.000 0.000
0.000 7.004 0.000
0.000 0.000 7.004
Rb Sr Ag
3 1 1
Direct
0.000 0.000 0.500
0.000 0.500 0.000
0.500 0.000 0.000
0.500 0.500 0.500
0.000 0.000 0.000
```

#2
The following is a PBE calculation of a geometry-optimized Rb3SrAg structure, from the Alexandria database.

Structure (POSCAR):
```
Rb3SrAg
1.0
8.149 0.000 0.000
0.000 8.149 0.000
0.000 0.000 8.149
Rb Sr Ag
3 1 1
Direct
0.000 0.000 0.500
0.000 0.500 0.000
0.500 0.000 0.000
0.000 0.000 0.000
0.500 0.500 0.500
```

The least stable of them is #2.